# 1
## CeHfHgAu (PBE-GGA)

Data for an optimized crystal structure of CeHfHgAu.

Computed properties:
- space-group type = F-43m (216)
- DOS at the Fermi energy (states/eV per cell) = 8.44
- energy relative to the elements (eV/atom) = -0.2062

abc: 5.1045 5.1045 5.1045
angles: 60.00 60.00 60.00
Fractional positions:
Hg: 0.5000 0.5000 0.5000
Hf: 0.2500 0.2500 0.2500
Ce: 0.7500 0.7500 0.7500
Au: 0.0000 0.0000 0.0000


# 2
## K2SrMgHg (PBE-GGA)

Data for an optimized crystal structure of K2SrMgHg.

Computed properties:
- space-group type = P4/mmm (123)
- E above lowest polymorph (meV per atom) = 251.9
- DOS at the Fermi energy (states/eV per cell) = 4.54
- energy relative to the elements (eV/atom) = 0.5147

abc: 8.0214 6.8141 8.0214
angles: 90.00 90.00 90.00
Fractional positions:
K: 0.5000 0.0000 0.0000
Sr: 0.0000 0.0000 0.0000
Mg: 0.0000 0.5000 0.0000
Hg: 0.5000 0.5000 0.5000
K: 0.0000 0.0000 0.5000


# 3
## SrCaCd2F8 (PBE-GGA)

Data for an optimized crystal structure of SrCaCd2F8.

Computed properties:
- space-group type = I-4m2 (119)
- E_form (uncorrected) (kJ/mol of formula units) = -3545
- DOS at the Fermi energy (states/eV per cell) = 0.00

abc: 5.5883 5.5883 6.8422
angles: 114.10 114.10 90.00
Fractional positions:
Ca: 0.0000 0.0000 0.0000
Cd: 0.5000 0.5000 0.0000
F: 0.6215 0.1215 0.7567
F: 0.3648 0.3785 0.2433
F: 0.8785 0.8648 0.2433
F: 0.1352 0.6352 0.7567
F: 0.6215 0.6354 0.7562
Cd: 0.2500 0.7500 0.5000
F: 0.1348 0.1209 0.7562
F: 0.8791 0.3785 0.2438
F: 0.3646 0.8652 0.2438
Sr: 0.7500 0.2500 0.5000


# 4
## CePrInPb (PBE-GGA)

Data for an optimized crystal structure of CePrInPb.

Computed properties:
- space-group type = F-43m (216)
- E above lowest polymorph (meV per atom) = 39.1
- DOS at the Fermi energy (states/eV per cell) = 8.41
- energy relative to the elements (eV/atom) = -0.3935

abc: 5.5478 5.5478 5.5478
angles: 60.00 60.00 60.00
Fractional positions:
In: 0.2500 0.2500 0.2500
Pb: 0.7500 0.7500 0.7500
Ce: 0.5000 0.5000 0.5000
Pr: 0.0000 0.0000 0.0000


# 5
## BaSc2MnGa (PBE-GGA)

Data for an optimized crystal structure of BaSc2MnGa.

Computed properties:
- space-group type = P4/mmm (123)
- DOS at the Fermi energy (states/eV per cell) = 8.88
- energy relative to the elements (eV/atom) = 2.0178

abc: 5.2890 5.4420 5.2890
angles: 90.00 90.00 90.00
Fractional positions:
Ba: 0.0000 0.0000 0.0000
Sc: 0.5000 0.0000 0.0000
Ga: 0.0000 0.5000 0.0000
Sc: 0.0000 0.0000 0.5000
Mn: 0.5000 0.5000 0.5000


# 6
## LiHAu (PBE-GGA)

Data for an optimized crystal structure of LiHAu.

Computed properties:
- space-group type = P-6m2 (187)
- total energy (eV per formula unit) = -8.81
- DOS at the Fermi energy (states/eV per cell) = 0.59

abc: 3.2160 3.5979 3.5979
angles: 120.00 90.00 90.00
Fractional positions:
Li: 0.6664 0.6667 0.3333
Au: 0.1667 0.3333 0.6667
H: 0.1669 0.0000 0.0000


# 7
## YIn2Ir (PBE-GGA)

Data for an optimized crystal structure of YIn2Ir.

Computed properties:
- space-group type = R-3m (166)
- DOS at the Fermi energy (states/eV per cell) = 3.25
- energy relative to the elements (eV/atom) = -0.0135

abc: 9.4427 9.4427 9.4427
angles: 20.68 20.68 20.68
Fractional positions:
Y: 0.7500 0.7500 0.7500
In: 0.5129 0.5129 0.5129
Ir: 0.2500 0.2500 0.2500
In: 0.9871 0.9871 0.9871


# 8
## MgMnZnAu (PBE-GGA)

Data for an optimized crystal structure of MgMnZnAu.

Computed properties:
- space-group type = F-43m (216)
- DOS at the Fermi energy (states/eV per cell) = 1.84
- energy relative to the elements (eV/atom) = -0.1743

abc: 4.5237 4.5237 4.5237
angles: 60.00 60.00 60.00
Fractional positions:
Mg: 0.0000 0.0000 0.0000
Zn: 0.2500 0.2500 0.2500
Mn: 0.5000 0.5000 0.5000
Au: 0.7500 0.7500 0.7500


# 9
## Y6Er12Tl (PBE-GGA)

Data for an optimized crystal structure of Y6Er12Tl.

Computed properties:
- space-group type = R-3 (148)
- DOS at the Fermi energy (states/eV per cell) = 28.23
- energy relative to the elements (eV/atom) = 0.0986

abc: 8.4121 8.4121 8.4121
angles: 88.95 88.95 88.95
Fractional positions:
Er: 0.5662 0.2224 0.4601
Er: 0.7776 0.5399 0.4338
Er: 0.9877 0.8103 0.6396
Y: 0.3003 0.7409 0.9059
Y: 0.2591 0.0941 0.6997
Er: 0.6396 0.9877 0.8103
Er: 0.5399 0.4338 0.7776
Tl: 0.0000 0.0000 0.0000
Er: 0.4601 0.5662 0.2224
Y: 0.6997 0.2591 0.0941
Y: 0.0941 0.6997 0.2591
Er: 0.0123 0.1897 0.3604
Y: 0.7409 0.9059 0.3003
Er: 0.2224 0.4601 0.5662
Er: 0.4338 0.7776 0.5399
Er: 0.3604 0.0123 0.1897
Er: 0.1897 0.3604 0.0123
Y: 0.9059 0.3003 0.7409
Er: 0.8103 0.6396 0.9877


# 10
## NdHo2Mg (PBE-GGA)

Data for an optimized crystal structure of NdHo2Mg.

Computed properties:
- space-group type = P4/mmm (123)
- E above lowest polymorph (meV per atom) = 49.6
- DOS at the Fermi energy (states/eV per cell) = 6.99
- energy relative to the elements (eV/atom) = 0.0206

abc: 4.9875 4.9151 4.9151
angles: 90.00 90.00 90.00
Fractional positions:
Nd: 0.5000 0.5000 0.5000
Mg: 0.5000 0.0000 0.0000
Ho: 0.0000 0.0000 0.5000
Ho: 0.0000 0.5000 0.0000


# 11
## ZrMnFeSn (PBE-GGA)

Data for an optimized crystal structure of ZrMnFeSn.

Computed properties:
- space-group type = F-43m (216)
- DOS at the Fermi energy (states/eV per cell) = 5.35
- energy relative to the elements (eV/atom) = -0.1031

abc: 4.4429 4.4429 4.4429
angles: 60.00 60.00 60.00
Fractional positions:
Zr: 0.5000 0.5000 0.5000
Fe: 0.7500 0.7500 0.7500
Sn: 0.0000 0.0000 0.0000
Mn: 0.2500 0.2500 0.2500


# 12
## Cs2TaPbF6 (PBE-GGA)

Data for an optimized crystal structure of Cs2TaPbF6.

Computed properties:
- space-group type = I4/mmm (139)
- E_form (uncorrected) (kJ/mol of formula units) = -2341
- DOS at the Fermi energy (states/eV per cell) = 0.00

abc: 6.5438 6.5438 7.5989
angles: 64.50 64.50 90.00
Fractional positions:
F: 0.3375 0.3375 0.3250
F: 0.7186 0.7186 0.0000
F: 0.6625 0.6625 0.6750
Cs: 0.2500 0.7500 0.5000
Cs: 0.7500 0.2500 0.5000
F: 0.2814 0.2814 0.0000
Pb: 0.0000 0.0000 0.0000
Ta: 0.5000 0.5000 0.0000
F: 0.2814 0.7186 0.0000
F: 0.7186 0.2814 0.0000